PmNd4Te6: optimized geometry, PBE.

a = 4.3781 Å, b = 7.6850 Å, c = 22.8749 Å
α = 90.00°, β = 90.00°, γ = 106.55°
Atoms (fractional coordinates):
Te 0.5000 0.0000 0.0000
Te 0.7688 0.5375 0.4061
Te 0.9420 0.8839 0.8330
Te 0.5000 0.0000 0.5000
Te 0.9420 0.8839 0.6670
Te 0.7688 0.5375 0.0939
Te 0.2312 0.4625 0.5939
Te 0.3122 0.6244 0.2500
Te 0.0580 0.1161 0.1670
Te 0.0580 0.1161 0.3330
Te 0.6878 0.3756 0.7500
Te 0.2312 0.4625 0.9061
Nd 0.8564 0.7129 0.5365
Nd 0.4143 0.8286 0.3733
Nd 0.5857 0.1714 0.8733
Nd 0.4143 0.8286 0.1267
Nd 0.1436 0.2871 0.4635
Nd 0.1436 0.2871 0.0365
Nd 0.8564 0.7129 0.9635
Nd 0.5857 0.1714 0.6267
Pm 0.6558 0.3115 0.2500
Pm 0.3442 0.6885 0.7500

Results
energy relative to the elements, uncorrected	-1436	meV per atom
ρ	6.70	g cm⁻³
energy	-5.31	eV/atom
SG	No. 63